1.
Entry from Alexandria: a geometry-optimized NbSbF2 structure (GGA-PBE).

a = 4.1552 Å, b = 4.1552 Å, c = 15.2310 Å
α = 90.00°, β = 90.00°, γ = 90.00°
Atoms (fractional coordinates):
Nb1 0.0000 0.0000 0.0000
Nb2 0.0000 0.5000 0.2500
Nb3 0.5000 0.0000 0.7500
Nb4 0.5000 0.5000 0.5000
Sb1 0.0000 0.0000 0.5000
Sb2 0.0000 0.5000 0.7500
Sb3 0.5000 0.0000 0.2500
Sb4 0.5000 0.5000 0.0000
F1 0.1373 0.2500 0.1250
F2 0.2500 0.6373 0.3750
F3 0.2500 0.8627 0.8750
F4 0.3627 0.2500 0.6250
F5 0.6373 0.7500 0.6250
F6 0.7500 0.1373 0.8750
F7 0.7500 0.3627 0.3750
F8 0.8627 0.7500 0.1250

Properties
* total moment: 0.00 μB/atom
* energy above the lowest structure with this stoichiometry: 246 meV per atom

---

2.
Entry from Alexandria: a geometry-optimized NbSbSe2F structure (GGA-PBE).

a = 5.2055 Å, b = 5.2055 Å, c = 5.5272 Å
α = 90.00°, β = 90.00°, γ = 90.00°
Atoms (fractional coordinates):
Nb1 0.0000 0.0000 0.0000
Sb1 0.0000 0.0000 0.5000
Se1 0.0000 0.5000 0.5000
Se2 0.5000 0.0000 0.5000
F1 0.5000 0.5000 0.0000

Properties
* total moment: 0.45 μB/atom
* uncorrected energy: -3.877 eV per atom

---

3.
Entry from Alexandria: a geometry-optimized NbSbTe2F structure (GGA-PBE).

a = 5.3069 Å, b = 5.3069 Å, c = 5.3752 Å
α = 90.00°, β = 90.00°, γ = 90.00°
Atoms (fractional coordinates):
Nb1 0.0000 0.0000 0.0000
Sb1 0.0000 0.0000 0.5000
Te1 0.0000 0.5000 0.0000
Te2 0.5000 0.0000 0.0000
F1 0.5000 0.5000 0.5000

Properties
* total moment: 0.00 μB/atom
* energy above the lowest structure with this stoichiometry: 0 meV per atom

---

4.
Entry from Alexandria: a geometry-optimized NbSb2TeF structure (GGA-PBE).

a = 5.3232 Å, b = 5.3232 Å, c = 5.2814 Å
α = 90.00°, β = 90.00°, γ = 90.00°
Atoms (fractional coordinates):
Nb1 0.0000 0.0000 0.0000
Sb1 0.0000 0.5000 0.0000
Sb2 0.5000 0.0000 0.0000
Te1 0.0000 0.0000 0.5000
F1 0.5000 0.5000 0.5000

Properties
* total moment: 0.00 μB/atom
* energy above the lowest structure with this stoichiometry: 0 meV per atom

---

5.
Entry from Alexandria: a geometry-optimized NbSb2TeF structure (GGA-PBE).

a = 4.6972 Å, b = 4.6972 Å, c = 5.2420 Å
α = 90.00°, β = 90.00°, γ = 90.00°
Atoms (fractional coordinates):
Nb1 0.0000 0.0000 0.0000
Sb1 0.0000 0.5000 0.5000
Sb2 0.5000 0.0000 0.5000
Te1 0.5000 0.5000 0.0000
F1 0.5000 0.5000 0.5000

Properties
* total moment: 0.44 μB/atom
* energy above the lowest structure with this stoichiometry: 243 meV per atom

---

6.
Entry from Alexandria: a geometry-optimized Nb2SbTeF structure (GGA-PBE).

a = 4.4281 Å, b = 4.4281 Å, c = 5.1125 Å
α = 90.00°, β = 90.00°, γ = 90.00°
Atoms (fractional coordinates):
Nb1 0.0000 0.5000 0.0000
Nb2 0.5000 0.0000 0.0000
Sb1 0.0000 0.0000 0.5000
Te1 0.5000 0.5000 0.5000
F1 0.0000 0.0000 0.0000

Properties
* total moment: 0.00 μB/atom
* uncorrected energy: -5.658 eV per atom

---

7.
Entry from Alexandria: a geometry-optimized NbSbTe2F structure (GGA-PBE).

a = 5.1342 Å, b = 5.1342 Å, c = 4.5084 Å
α = 90.00°, β = 90.00°, γ = 90.00°
Atoms (fractional coordinates):
Nb1 0.0000 0.0000 0.0000
Sb1 0.5000 0.5000 0.0000
Te1 0.0000 0.5000 0.5000
Te2 0.5000 0.0000 0.5000
F1 0.5000 0.5000 0.5000

Properties
* total moment: 0.45 μB/atom
* energy above the lowest structure with this stoichiometry: 329 meV per atom

---

8.
Entry from Alexandria: a geometry-optimized ScNbF2 structure (GGA-PBE).

a = 6.0556 Å, b = 6.0556 Å, c = 6.0556 Å
α = 90.00°, β = 90.00°, γ = 90.00°
Atoms (fractional coordinates):
Sc1 0.0000 0.0000 0.0000
Sc2 0.0000 0.5000 0.5000
Sc3 0.5000 0.0000 0.5000
Sc4 0.5000 0.5000 0.0000
Nb1 0.0000 0.0000 0.5000
Nb2 0.0000 0.5000 0.0000
Nb3 0.5000 0.0000 0.0000
Nb4 0.5000 0.5000 0.5000
F1 0.2500 0.2500 0.2500
F2 0.2500 0.2500 0.7500
F3 0.2500 0.7500 0.2500
F4 0.2500 0.7500 0.7500
F5 0.7500 0.2500 0.2500
F6 0.7500 0.2500 0.7500
F7 0.7500 0.7500 0.2500
F8 0.7500 0.7500 0.7500

Properties
* total moment: 0.00 μB/atom
* energy above the lowest structure with this stoichiometry: 912 meV per atom

---

9.
Entry from Alexandria: a geometry-optimized ScNbF3 structure (GGA-PBE).

a = 4.2542 Å, b = 4.2542 Å, c = 4.2542 Å
α = 90.00°, β = 90.00°, γ = 90.00°
Atoms (fractional coordinates):
Sc1 0.0000 0.0000 0.0000
Nb1 0.5000 0.5000 0.5000
F1 0.0000 0.0000 0.5000
F2 0.0000 0.5000 0.0000
F3 0.5000 0.0000 0.0000

Properties
* total moment: 0.98 μB/atom
* energy above the lowest structure with this stoichiometry: 0 meV per atom

---

10.
Entry from Alexandria: a geometry-optimized Sc2NbF structure (GGA-PBE).

a = 2.9975 Å, b = 2.9975 Å, c = 27.3032 Å
α = 90.00°, β = 90.00°, γ = 120.00°
Atoms (fractional coordinates):
Sc1 0.0000 0.0000 0.1022
Sc2 0.0000 0.0000 0.8978
Sc3 0.3333 0.6667 0.5644
Sc4 0.3333 0.6667 0.7689
Sc5 0.6667 0.3333 0.2311
Sc6 0.6667 0.3333 0.4356
Nb1 0.0000 0.0000 0.0000
Nb2 0.3333 0.6667 0.6667
Nb3 0.6667 0.3333 0.3333
F1 0.0000 0.0000 0.5000
F2 0.3333 0.6667 0.1667
F3 0.6667 0.3333 0.8333

Properties
* total moment: 0.28 μB/atom
* energy above the lowest structure with this stoichiometry: 0 meV per atom

---

11.
Entry from Alexandria: a geometry-optimized ScNbF2 structure (GGA-PBE).

a = 2.8999 Å, b = 2.8999 Å, c = 22.9982 Å
α = 90.00°, β = 90.00°, γ = 120.00°
Atoms (fractional coordinates):
Sc1 0.0000 0.0000 0.0000
Sc2 0.3333 0.6667 0.6667
Sc3 0.6667 0.3333 0.3333
Nb1 0.0000 0.0000 0.5000
Nb2 0.3333 0.6667 0.1667
Nb3 0.6667 0.3333 0.8333
F1 0.0000 0.0000 0.4001
F2 0.0000 0.0000 0.5999
F3 0.3333 0.6667 0.0668
F4 0.3333 0.6667 0.2666
F5 0.6667 0.3333 0.7334
F6 0.6667 0.3333 0.9332

Properties
* total moment: 0.00 μB/atom
* energy above the lowest structure with this stoichiometry: 0 meV per atom

---

12.
Entry from Alexandria: a geometry-optimized ScNb3F structure (GGA-PBE).

a = 4.4269 Å, b = 4.4269 Å, c = 4.4269 Å
α = 90.00°, β = 90.00°, γ = 90.00°
Atoms (fractional coordinates):
Sc1 0.0000 0.0000 0.0000
Nb1 0.0000 0.5000 0.5000
Nb2 0.5000 0.0000 0.5000
Nb3 0.5000 0.5000 0.0000
F1 0.5000 0.5000 0.5000

Properties
* total moment: 0.00 μB/atom
* energy above the lowest structure with this stoichiometry: 0 meV per atom